VASP calculation (SCAN) on a PBEsol-optimized structure of FeRu2Pt.

Energy in Ry per atom: -2.8900
Total magnetization in Bohr magnetons per cell: 5.3
SG: C2/m

Lattice parameters (Å, degrees): 2.630 4.592 5.219 115.35 103.37 92.70
Fractional positions:
Fe: 0.500 0.000 0.000
Pt: 0.000 0.500 0.000
Ru: 0.000 0.000 0.500
Ru: 0.500 0.500 0.500

VASP calculation (SCAN) on a PBEsol-optimized structure of BeBTe2Ru.

Energy in Ry per atom: -1.6937
Total magnetization in Bohr magnetons per cell: 0.0
Formation energy from raw total energies in meV per atom: 1178.1
SG: P4/mmm

Lattice parameters (Å, degrees): 4.090 5.057 5.057 90.00 90.00 90.00
Fractional positions:
Ru: 0.000 0.000 0.000
B: 0.500 0.500 0.500
Te: 0.000 0.000 0.500
Te: 0.000 0.500 0.000
Be: 0.500 0.000 0.000

VASP calculation (SCAN) on a PBEsol-optimized structure of Li2Ti2VO6.

Energy in Ry per atom: -0.8237
Total magnetization in Bohr magnetons per cell: 7.3
Formation energy from raw total energies in meV per atom: -2868.7
SG: P-1

Lattice parameters (Å, degrees): 6.599 6.590 8.266 70.81 70.09 81.98
Fractional positions:
Li: 0.673 0.997 0.829
Li: 0.675 0.327 0.496
Li: 0.998 0.336 0.166
Li: 0.002 0.664 0.834
Li: 0.327 0.003 0.171
Li: 0.325 0.673 0.504
Ti: 0.681 0.989 0.327
Ti: 0.671 0.331 0.997
Ti: 0.329 0.669 0.003
Ti: 0.319 0.011 0.673
Ti: 0.678 0.664 0.658
Ti: 0.322 0.336 0.342
V: 0.000 0.000 0.000
V: 0.011 0.322 0.668
V: 0.989 0.678 0.332
O: 0.003 0.999 0.758
O: 0.344 0.689 0.753
O: 0.992 0.646 0.585
O: 0.997 0.001 0.242
O: 0.984 0.325 0.918
O: 0.328 0.983 0.918
O: 0.008 0.354 0.415
O: 0.016 0.675 0.082
O: 0.350 0.016 0.419
O: 0.346 0.347 0.093
O: 0.664 0.672 0.424
O: 0.672 0.017 0.082
O: 0.687 0.343 0.750
O: 0.336 0.328 0.576
O: 0.313 0.657 0.250
O: 0.650 0.984 0.581
O: 0.656 0.311 0.247
O: 0.654 0.653 0.907

VASP calculation (SCAN) on a PBEsol-optimized structure of KReBr2.

Energy in Ry per atom: -2.1338
Total magnetization in Bohr magnetons per cell: 2.2
Formation energy from raw total energies in meV per atom: 554.7
SG: P4/mmm

Lattice parameters (Å, degrees): 3.174 5.053 5.053 90.00 90.00 90.00
Fractional positions:
Br: 0.000 0.000 0.500
Br: 0.000 0.500 0.000
K: 0.500 0.500 0.500
Re: 0.500 0.000 0.000

Q: Which formula does entry 4 have?
A: KReBr2

Repeat the first record exactly.
VASP calculation (SCAN) on a PBEsol-optimized structure of FeRu2Pt.

Energy in Ry per atom: -2.8900
Total magnetization in Bohr magnetons per cell: 5.3
SG: C2/m

Lattice parameters (Å, degrees): 2.630 4.592 5.219 115.35 103.37 92.70
Fractional positions:
Fe: 0.500 0.000 0.000
Pt: 0.000 0.500 0.000
Ru: 0.000 0.000 0.500
Ru: 0.500 0.500 0.500

Q: The lowest energy belongs to which entry?
A: FeRu2Pt